(1)
Material: TaCu2Ni
Method: DFT, PBEsol
State: relaxed

It has space group Cm (No. 8), with a = 8.5561 Å, b = 2.6690 Å, c = 4.5469 Å, α = 90.00°, β = 101.13° and γ = 90.00°. The inequivalent atoms are Ta at (0.0000, 0.0000, 0.0000), Cu at (0.0080, 0.5000, 0.5057), Cu at (0.2601, 0.5000, 0.2906) and Ni at (0.2459, 0.0000, 0.7721).

***

(2)
Material: TbCu2Ni3
Method: DFT, PBEsol
State: relaxed

It has space group P6/mmm (No. 191), with a = 4.8780 Å, b = 4.8780 Å, c = 3.8974 Å, α = 90.00°, β = 90.00° and γ = 120.00°. The inequivalent atoms are Tb at (0.0000, 0.0000, 0.0000), Cu at (0.3333, 0.6667, 0.0000) and Ni at (0.0000, 0.5000, 0.5000).

***

(3)
Material: TbCuNi4
Method: DFT, PBEsol
State: relaxed

It has space group P-6m2 (No. 187), with a = 4.8272 Å, b = 4.8272 Å, c = 3.9160 Å, α = 90.00°, β = 90.00° and γ = 120.00°. The inequivalent atoms are Tb at (0.0000, 0.0000, 0.0000), Cu at (0.6667, 0.3333, 0.0000), Ni at (0.0016, 0.5008, 0.5000) and Ni at (0.3333, 0.6667, 0.0000).

***

(4)
Material: CuTcNi2
Method: DFT, PBEsol
State: relaxed

It has space group Cm (No. 8), with a = 8.4015 Å, b = 2.5063 Å, c = 4.4235 Å, α = 90.00°, β = 99.18° and γ = 90.00°. The inequivalent atoms are Cu at (0.0000, 0.0000, 0.0000), Tc at (0.2560, 0.5000, 0.2858), Ni at (0.0048, 0.5000, 0.5060) and Ni at (0.2500, 0.0000, 0.7790).

***

(5)
Material: CuTcNi
Method: DFT, PBEsol
State: relaxed

It has space group F-43m (No. 216), with a = 5.4300 Å, b = 5.4300 Å, c = 5.4300 Å, α = 90.00°, β = 90.00° and γ = 90.00°. The inequivalent atoms are Cu at (0.0000, 0.0000, 0.0000), Tc at (0.0000, 0.0000, 0.5000) and Ni at (0.2500, 0.2500, 0.2500).

***

(6)
Material: CuTcNi2
Method: DFT, PBEsol
State: relaxed

It has space group P4/mmm (No. 123), with a = 2.5610 Å, b = 2.5610 Å, c = 6.9828 Å, α = 90.00°, β = 90.00° and γ = 90.00°. The inequivalent atoms are Cu at (0.0000, 0.0000, 0.0000), Tc at (0.0000, 0.0000, 0.5000) and Ni at (0.5000, 0.5000, 0.2434).

***

Size of the total moment readings, ordered: 0.0 0.0 0.6 0.0 0.0 0.0 μB per formula unit
DOS(E_F) readings, ordered: 4.029 4.387 7.328 7.916 7.313 3.350 states/eV per cell
Energy relative to the elements readings, ordered: 4 -28 -30 8 52 -2 kJ/mol of atoms